Record 1
Density functional theory data (PBE) for a relaxed Li2La3Cd4 crystal.

a = 6.176 Å, b = 6.176 Å, c = 9.587 Å
α = 118.47°, β = 118.47°, γ = 49.31°
Positions (direct):
Li (0.115, 0.115, 0.283)
Li (0.885, 0.885, 0.717)
La (0.164, 0.164, 0.667)
La (0.500, 0.500, 0.000)
La (0.836, 0.836, 0.333)
Cd (0.221, 0.221, 0.061)
Cd (0.440, 0.440, 0.612)
Cd (0.560, 0.560, 0.388)
Cd (0.779, 0.779, 0.939)

## Properties
**DOS at the Fermi energy**: 7.3 states/eV per cell
**ρ**: 6192 kg/m³
**Formation energy from the elements**: -0.27 eV per atom
**Calculated total energy**: -24.7 eV per cell

---

Record 2
Density functional theory data (PBE) for a relaxed PmSc2Au crystal.

a = 5.051 Å, b = 5.051 Å, c = 5.051 Å
α = 60.00°, β = 60.00°, γ = 60.00°
Positions (direct):
Pm (0.000, 0.000, 0.000)
Sc (0.250, 0.250, 0.250)
Sc (0.750, 0.750, 0.750)
Au (0.500, 0.500, 0.500)

## Properties
**DOS at the Fermi energy**: 4.8 states/eV per cell
**ρ**: 7873 kg/m³
**Formation energy from the elements**: -0.17 eV per atom
**Polymorph energy (0 for the lowest one)**: 0.2537 eV per atom
**Calculated total energy**: -21.4 eV per cell